(1)
Material: CsAs2AuO8
Method: DFT, PBE
State: optimized geometry

Output
Total energy (eV for the cell shown): -61.99
Uncorrected formation energy (eV/atom): -0.74

```
12
Lattice="2.686 1.551 9.290 -2.686 1.551 9.290 0.000 -3.102 9.290" Properties=species:S:1:pos:R:3 pbc="T T T"
Cs 0.000 0.000 0.000
As 0.000 0.000 6.459
As 0.000 0.000 21.409
Au 0.000 0.000 13.934
O -1.055 -1.130 12.557
O 0.000 0.000 8.142
O -0.451 -1.479 15.312
O -1.055 1.130 15.312
O -0.451 1.479 12.557
O 1.506 -0.349 12.557
O 0.000 0.000 19.727
O 1.506 0.349 15.312
```

***

(2)
Material: Ac2PmTmSe6
Method: DFT, PBE
State: optimized geometry

Output
Total energy (eV for the cell shown): -57.49
Uncorrected formation energy (eV/atom): -1.91

```
10
Lattice="3.800 2.194 6.536 -3.800 2.194 6.536 0.000 -4.388 6.536" Properties=species:S:1:pos:R:3 pbc="T T T"
Ac 0.000 0.000 0.000
Ac 0.000 0.000 9.780
Pm 0.000 0.000 4.114
Tm 0.000 0.000 13.880
Se -1.390 -2.575 8.744
Se -2.194 0.240 12.055
Se -1.535 2.491 8.744
Se 0.889 -2.020 12.055
Se 2.925 0.084 8.744
Se 1.305 1.780 12.055
```

***

(3)
Material: LiZrSc2
Method: DFT, PBE
State: optimized geometry

Output
E_form (meV/atom): 191
Total energy (eV for the cell shown): -22.36

```
4
Lattice="5.283 0.000 0.000 0.000 5.283 0.000 0.000 0.000 3.237" Properties=species:S:1:pos:R:3 pbc="T T T"
Li 0.000 0.000 0.000
Zr 2.641 2.641 0.000
Sc 0.000 2.641 1.619
Sc 2.641 0.000 1.619
```

***

(4)
Material: InB3H
Method: DFT, PBE
State: optimized geometry

Output
Total energy (eV for the cell shown): -12.46

```
5
Lattice="4.573 0.000 0.000 0.000 4.573 0.000 0.000 0.000 4.573" Properties=species:S:1:pos:R:3 pbc="T T T"
In 0.000 0.000 0.000
B 0.000 0.000 2.286
B 0.000 2.286 0.000
B 2.286 0.000 0.000
H 2.286 2.286 2.286
```

***

(5)
Material: ZnO
Method: DFT, PBE
State: optimized geometry

Output
Total energy (eV for the cell shown): -35.29
Uncorrected formation energy (eV/atom): -1.30

```
8
Lattice="0.000 4.497 4.586 3.168 0.000 4.586 3.168 4.497 0.000" Properties=species:S:1:pos:R:3 pbc="T T T"
Zn 2.376 0.338 3.440
Zn 3.959 2.587 5.733
Zn 2.376 6.407 3.440
Zn 3.959 8.656 5.733
O 2.376 3.373 0.338
O 3.959 5.621 2.632
O 2.376 3.373 6.541
O 3.959 5.621 8.834
```

***

(6)
Material: NiRh2Cl
Method: DFT, PBE
State: optimized geometry

Output
Total energy (eV for the cell shown): -20.52
Uncorrected formation energy (eV/atom): 0.45

```
4
Lattice="1.384 -2.464 0.000 1.384 2.464 0.000 0.000 0.000 8.470" Properties=species:S:1:pos:R:3 pbc="T T T"
Ni 0.000 0.000 0.000
Rh 1.384 0.000 2.104
Rh 1.384 0.000 6.365
Cl 0.000 0.000 4.235
```

***

no.,calculated volume (Å³/cell)
1,232.2
2,326.9
3,90.4
4,95.6
5,130.7
6,57.8